Record 1
Sr2In4CuPd after structural relaxation. Source: OQMD, functional PBE.

Results
E: -26.860 eV for the cell shown

Cell and atoms, written as POSCAR:
```
Sr2In4CuPd
1.0
7.904 0.000 0.000
0.000 2.268 5.600
0.000 -2.268 5.600
Sr In Cu Pd
2 4 1 1
Direct
0.000 0.000 0.000
0.500 0.119 0.119
0.193 0.711 0.711
0.301 0.406 0.406
0.699 0.406 0.406
0.807 0.711 0.711
0.000 0.282 0.282
0.500 0.840 0.840
```

=====

Record 2
TaInCuPd after structural relaxation. Source: OQMD, functional PBE.

Results
excess energy over the best structure of this formula in the dataset: 0 meV/atom
spin magnetization: 0.000 μB per atom

Cell and atoms, written as POSCAR:
```
TaInCuPd
1.0
0.000 3.209 3.209
3.209 0.000 3.209
3.209 3.209 0.000
Ta In Cu Pd
1 1 1 1
Direct
0.000 0.000 0.000
0.500 0.500 0.500
0.750 0.750 0.750
0.250 0.250 0.250
```

=====

Record 3
TaInCuPd after structural relaxation. Source: OQMD, functional PBE.

Results
excess energy over the best structure of this formula in the dataset: 164 meV/atom
spin magnetization: 0.000 μB per atom

Cell and atoms, written as POSCAR:
```
TaInCuPd
1.0
0.000 3.223 3.223
3.223 0.000 3.223
3.223 3.223 0.000
Ta In Cu Pd
1 1 1 1
Direct
0.000 0.000 0.000
0.250 0.250 0.250
0.500 0.500 0.500
0.750 0.750 0.750
```